12
Lattice="0.0000 5.2565 7.6811 5.2419 0.0000 7.6811 5.2419 5.2565 0.0000" Properties=species:S:1:pos:R:3 comment="Na8Cd3In, optimized geometry, DFT PBE" total_energy_ev_per_atom=-1.280 delta_e_f_mev_per_atom=56 sg="No. 69" pbc="T T T"
Na 7.8809 5.2565 5.7741
Na 5.2419 2.6115 5.7790
Na 5.2419 2.6115 9.5832
Na 7.8809 5.2565 9.5881
Na 2.6029 5.2565 5.7741
Na 5.2419 7.9015 5.7790
Na 5.2419 7.9015 9.5832
Na 2.6029 5.2565 9.5881
Cd 2.6210 2.6283 3.8406
Cd 5.2419 5.2565 7.6811
Cd 7.8629 7.8848 11.5217
In 0.0000 0.0000 0.0000